No. 1
# CaPr6Nd2 | Alexandria via LeMat-Bulk | GGA-PBE | relaxed
data_CaPr6Nd2
_symmetry_space_group_name_H-M 'P 1'
_symmetry_Int_Tables_number 1
_cell_length_a 3.633
_cell_length_b 10.489
_cell_length_c 10.489
_cell_angle_alpha 57.72
_cell_angle_beta 80.13
_cell_angle_gamma 80.13
loop_
_symmetry_equiv_pos_as_xyz
'x,y,z'
loop_
_atom_site_label
_atom_site_type_symbol
_atom_site_fract_x
_atom_site_fract_y
_atom_site_fract_z
_atom_site_occupancy
Nd1 Nd 0.846 0.653 0.653 1
Nd2 Nd 0.146 0.347 0.347 1
Pr1 Pr 0.673 0.010 0.649 1
Pr2 Pr 0.334 0.351 0.990 1
Pr3 Pr 0.673 0.649 0.010 1
Pr4 Pr 0.497 0.332 0.668 1
Pr5 Pr 0.334 0.990 0.351 1
Pr6 Pr 0.497 0.668 0.332 1
Ca1 Ca 0.001 0.000 0.000 1
# Calculated formation energy   0.095 eV/atom
# DOS at the Fermi energy   13.5 states/eV/cell
# Crystal system   monoclinic
# Calculated density   5.88 g cm⁻³
# E   -4.373 eV per atom



No. 2
# MoP2 | Alexandria via LeMat-Bulk | GGA-PBE | relaxed
data_MoP2
_symmetry_space_group_name_H-M 'P 1'
_symmetry_Int_Tables_number 1
_cell_length_a 3.968
_cell_length_b 3.968
_cell_length_c 3.137
_cell_angle_alpha 90.00
_cell_angle_beta 90.00
_cell_angle_gamma 90.00
loop_
_symmetry_equiv_pos_as_xyz
'x,y,z'
loop_
_atom_site_label
_atom_site_type_symbol
_atom_site_fract_x
_atom_site_fract_y
_atom_site_fract_z
_atom_site_occupancy
P1 P 0.500 0.000 0.500 1
P2 P 0.000 0.500 0.500 1
Mo1 Mo 0.000 0.000 0.000 1
# Calculated formation energy   0.235 eV/atom
# DOS at the Fermi energy   2.4 states/eV/cell
# Crystal system   tetragonal
# Calculated density   5.31 g cm⁻³
# E   -6.982 eV per atom



No. 3
# Na2Ge3 | Alexandria via LeMat-Bulk | GGA-PBE | relaxed
data_Na2Ge3
_symmetry_space_group_name_H-M 'P 1'
_symmetry_Int_Tables_number 1
_cell_length_a 5.328
_cell_length_b 8.357
_cell_length_c 7.254
_cell_angle_alpha 54.83
_cell_angle_beta 93.68
_cell_angle_gamma 96.40
loop_
_symmetry_equiv_pos_as_xyz
'x,y,z'
loop_
_atom_site_label
_atom_site_type_symbol
_atom_site_fract_x
_atom_site_fract_y
_atom_site_fract_z
_atom_site_occupancy
Ge1 Ge 0.396 0.349 0.000 1
Ge2 Ge 0.604 0.651 0.000 1
Ge3 Ge 0.989 0.465 0.763 1
Ge4 Ge 0.989 0.228 0.237 1
Ge5 Ge 0.011 0.535 0.237 1
Ge6 Ge 0.011 0.772 0.763 1
Na1 Na 0.500 0.000 0.500 1
Na2 Na 0.500 0.500 0.500 1
Na3 Na 0.000 0.861 0.279 1
Na4 Na 0.000 0.139 0.721 1
# Calculated formation energy   0.099 eV/atom
# DOS at the Fermi energy   2.7 states/eV/cell
# Crystal system   monoclinic
# Calculated density   3.34 g cm⁻³
# E   -3.199 eV per atom



No. 4
# BaZr2Fe | Alexandria via LeMat-Bulk | GGA-PBE | relaxed
data_BaZr2Fe
_symmetry_space_group_name_H-M 'P 1'
_symmetry_Int_Tables_number 1
_cell_length_a 7.380
_cell_length_b 7.380
_cell_length_c 7.371
_cell_angle_alpha 59.96
_cell_angle_beta 59.96
_cell_angle_gamma 90.00
loop_
_symmetry_equiv_pos_as_xyz
'x,y,z'
loop_
_atom_site_label
_atom_site_type_symbol
_atom_site_fract_x
_atom_site_fract_y
_atom_site_fract_z
_atom_site_occupancy
Ba1 Ba 0.000 0.000 0.000 1
Ba2 Ba 0.750 0.250 0.500 1
Zr1 Zr 0.375 0.625 0.250 1
Zr2 Zr 0.375 0.625 0.750 1
Zr3 Zr 0.375 0.125 0.250 1
Zr4 Zr 0.875 0.625 0.750 1
Fe1 Fe 0.500 0.500 0.000 1
Fe2 Fe 0.250 0.750 0.500 1
# Calculated formation energy   0.832 eV/atom
# DOS at the Fermi energy   10.5 states/eV/cell
# Crystal system   tetragonal
# Calculated density   4.40 g cm⁻³
# E   -6.039 eV per atom